A plane-wave DFT calculation with PBE was carried out for Rb2NdBr6 after structural relaxation.

```
Rb2NdBr6
1.0
4.642 0.000 0.000
0.000 7.674 4.417
0.000 -7.674 4.417
Rb Nd Br
2 1 6
direct
0.000 0.167 0.833
0.000 0.833 0.167
0.500 0.502 0.502
0.000 0.268 0.500
0.000 0.500 0.268
0.000 0.735 0.735
0.500 0.153 0.153
0.500 0.500 0.849
0.500 0.849 0.500
```

* V: 34.97 Å³ per atom
* magnetization: 1.1 μB per cell
* space group: No. 38
* total DFT energy (no corrections): -3.402 eV/atom

***

A plane-wave DFT calculation with PBE was carried out for HfBPb2 after structural relaxation.

```
HfBPb2
1.0
-3.639 3.639 3.259
3.639 -3.639 3.259
3.639 3.639 -3.259
Hf B Pb
2 2 4
direct
0.000 0.000 0.000
0.750 0.250 0.500
0.250 0.750 0.500
0.500 0.500 0.000
0.191 0.125 0.566
0.375 0.809 0.934
0.559 0.625 0.434
0.875 0.441 0.066
```

* V: 21.58 Å³ per atom
* magnetization: 0.0 μB per cell
* formation enthalpy at 0 K: 0.81 eV/atom
* space group: No. 122

***

A plane-wave DFT calculation with PBE was carried out for CsLi3Zn after structural relaxation.

```
CsLi3Zn
1.0
5.457 0.000 0.000
0.000 5.457 0.000
0.000 0.000 5.457
Cs Li Zn
1 3 1
direct
0.000 0.000 0.000
0.000 0.500 0.500
0.500 0.000 0.500
0.500 0.500 0.000
0.500 0.500 0.500
```

* V: 32.50 Å³ per atom
* magnetization: 0.0 μB per cell
* formation enthalpy at 0 K: 0.16 eV/atom
* space group: No. 221

***

A plane-wave DFT calculation with PBE was carried out for Te2MoCl after structural relaxation.

```
Te2MoCl
1.0
3.628 0.000 0.000
0.000 3.628 0.000
0.000 0.000 7.801
Te Mo Cl
2 1 1
direct
0.000 0.000 0.000
0.500 0.500 0.235
0.500 0.500 0.862
0.000 0.000 0.616
```

* V: 25.67 Å³ per atom
* magnetization: 1.3 μB per cell
* space group: No. 99
* total DFT energy (no corrections): -4.408 eV/atom